# CuWSe2 | Alexandria | PBE | relaxed
data_CuWSe2
_chemical_formula_sum 'Cu2 W2 Se4'
_cell_length_a 7.6392
_cell_length_b 3.3035
_cell_length_c 6.9436
_cell_angle_alpha 90.00
_cell_angle_beta 101.31
_cell_angle_gamma 90.00
_symmetry_space_group_name_H-M 'C 1 m 1'
_symmetry_Int_Tables_number 8
_symmetry_space_group_name_Hall 'C -2y'
loop_
_atom_site_label
_atom_site_type_symbol
_atom_site_fract_x
_atom_site_fract_y
_atom_site_fract_z
Cu1 Cu 0.0000 0.0000 0.0000
W1 W 0.2557 0.5000 0.2064
Se1 Se 0.2685 0.0000 0.9027
Se2 Se 0.4824 0.0000 0.3968
# raw formation energy: 143 meV per atom
# ΔE to the lowest computed polymorph: 0.2948 eV per atom
# volume: 21.48 A^3/atom

=====

# SmHoAl2Pd5 | Alexandria | PBE | relaxed
data_SmHoAl2Pd5
_chemical_formula_sum 'Sm1 Ho1 Al2 Pd5'
_cell_length_a 4.2454
_cell_length_b 4.2454
_cell_length_c 9.2514
_cell_angle_alpha 90.00
_cell_angle_beta 90.00
_cell_angle_gamma 90.00
_symmetry_space_group_name_H-M 'P 4/m m m'
_symmetry_Int_Tables_number 123
_symmetry_space_group_name_Hall '-P 4 2'
loop_
_atom_site_label
_atom_site_type_symbol
_atom_site_fract_x
_atom_site_fract_y
_atom_site_fract_z
Sm1 Sm 0.0000 0.0000 0.0000
Ho1 Ho 0.0000 0.0000 0.5000
Al1 Al 0.5000 0.5000 0.3607
Pd1 Pd 0.0000 0.5000 0.2269
Pd2 Pd 0.5000 0.5000 0.0000
# volume: 18.53 A^3/atom
# formation energy: -817 meV per atom

=====

# As2Pt | Alexandria | PBE | relaxed
data_As2Pt
_chemical_formula_sum 'As4 Pt2'
_cell_length_a 3.6185
_cell_length_b 11.6413
_cell_length_c 2.7502
_cell_angle_alpha 90.00
_cell_angle_beta 90.00
_cell_angle_gamma 90.00
_symmetry_space_group_name_H-M 'C m m m'
_symmetry_Int_Tables_number 65
_symmetry_space_group_name_Hall '-C 2 2'
loop_
_atom_site_label
_atom_site_type_symbol
_atom_site_fract_x
_atom_site_fract_y
_atom_site_fract_z
As1 As 0.0000 0.1495 0.0000
Pt1 Pt 0.0000 0.5000 0.0000
# volume: 19.31 A^3/atom
# formation energy: -105 meV per atom

=====

# AcNd8Er2 | Alexandria | PBE | relaxed
data_AcNd8Er2
_chemical_formula_sum 'Ac2 Nd16 Er4'
_cell_length_a 19.8144
_cell_length_b 7.1873
_cell_length_c 5.6706
_cell_angle_alpha 90.00
_cell_angle_beta 93.51
_cell_angle_gamma 90.00
_symmetry_space_group_name_H-M 'C 1 2/m 1'
_symmetry_Int_Tables_number 12
_symmetry_space_group_name_Hall '-C 2y'
loop_
_atom_site_label
_atom_site_type_symbol
_atom_site_fract_x
_atom_site_fract_y
_atom_site_fract_z
Ac1 Ac 0.0000 0.0000 0.0000
Nd1 Nd 0.0450 0.5000 0.2416
Nd2 Nd 0.1363 0.2713 0.7295
Nd3 Nd 0.1897 0.0000 0.2338
Er1 Er 0.2149 0.5000 0.2496
# ΔE to the lowest computed polymorph: 0.0929 eV per atom
# volume: 36.64 A^3/atom
# formation energy: 119 meV per atom